1.
{
  "formula": "ZrRe3H",
  "functional": "PBE",
  "state": "relaxed",
  "total_energy_ev_per_atom": -9.656,
  "sg": "Pm-3m, No. 221",
  "magmom_total_mub_per_fu": 0.00,
  "rho_g_cm3": 15.9,
  "cell": [[4.082, 0.000, 0.000], [0.000, 4.082, 0.000], [0.000, 0.000, 4.082]],
  "species": ["Zr", "Re", "Re", "Re", "H"],
  "fractional_positions": [[0.000, 0.000, 0.000], [0.000, 0.500, 0.500], [0.500, 0.000, 0.500], [0.500, 0.500, 0.000], [0.500, 0.500, 0.500]]
}

***

2.
{
  "formula": "Zr2ReH",
  "functional": "PBE",
  "state": "relaxed",
  "total_energy_ev_per_atom": -8.268,
  "sg": "R-3m, No. 166",
  "magmom_total_mub_per_fu": 0.00,
  "e_above_lowest_polymorph_ev_per_fu": 0.000,
  "rho_g_cm3": 9.8,
  "cell": [[1.626, 0.939, 6.823], [-1.626, 0.939, 6.823], [0.000, -1.878, 6.823]],
  "species": ["Zr", "Zr", "Re", "H"],
  "fractional_positions": [[0.235, 0.235, 0.235], [0.765, 0.765, 0.765], [0.000, 0.000, 0.000], [0.500, 0.500, 0.500]]
}

***

3.
{
  "formula": "Zr2ReH2",
  "functional": "PBE",
  "state": "relaxed",
  "total_energy_ev_per_atom": -7.689,
  "sg": "I4/mmm, No. 139",
  "magmom_total_mub_per_fu": 0.00,
  "e_above_lowest_polymorph_ev_per_fu": 0.000,
  "rho_g_cm3": 9.5,
  "cell": [[-1.656, 1.656, 5.894], [1.656, -1.656, 5.894], [1.656, 1.656, -5.894]],
  "species": ["Zr", "Zr", "Re", "H", "H"],
  "fractional_positions": [[0.138, 0.138, 0.000], [0.862, 0.862, 0.000], [0.500, 0.500, 0.000], [0.250, 0.750, 0.500], [0.750, 0.250, 0.500]]
}

***

4.
{
  "formula": "ZrReH3",
  "functional": "PBE",
  "state": "relaxed",
  "total_energy_ev_per_atom": -5.580,
  "sg": "Pm-3m, No. 221",
  "magmom_total_mub_per_fu": 0.00,
  "rho_g_cm3": 9.8,
  "cell": [[3.622, 0.000, 0.000], [0.000, 3.622, 0.000], [0.000, 0.000, 3.622]],
  "species": ["Zr", "Re", "H", "H", "H"],
  "fractional_positions": [[0.000, 0.000, 0.000], [0.500, 0.500, 0.500], [0.000, 0.000, 0.500], [0.000, 0.500, 0.000], [0.500, 0.000, 0.000]]
}